1.
Crystalline BaAl5 at its relaxed geometry, computed with PBEsol.

```
data_BaAl5
_space_group_name_H-M_alt 'P 6/m m m'
_space_group_IT_number 191
_space_group_name_Hall '-P 6 2'
_cell_length_a 5.8102
_cell_length_b 5.8102
_cell_length_c 4.3858
_cell_angle_alpha 90.00
_cell_angle_beta 90.00
_cell_angle_gamma 120.00
loop_
_atom_site_label
_atom_site_type_symbol
_atom_site_fract_x
_atom_site_fract_y
_atom_site_fract_z
Ba1 Ba 0.0000 0.0000 0.0000
Al1 Al 0.0000 0.5000 0.5000
Al2 Al 0.3333 0.6667 0.0000
```

Output
* E_form: -0.8 eV per formula unit
* N(E_F): 0.42 states/eV per atom
* total magnetization: 0.000 μB per formula unit
* V: 128.2 Å³/cell

---

2.
Crystalline BaAl at its relaxed geometry, computed with PBEsol.

```
data_BaAl
_space_group_name_H-M_alt 'P n m a'
_space_group_IT_number 62
_cell_length_a 9.758
_cell_length_b 4.627
_cell_length_c 6.384
_cell_angle_alpha 90.00
_cell_angle_beta 90.00
_cell_angle_gamma 90.00
loop_
_space_group_symop_operation_xyz
'x,y,z'
'-x,-y,-z'
'-x+1/2,-y,z+1/2'
'x+1/2,y,-z+1/2'
'x+1/2,-y+1/2,-z+1/2'
'-x+1/2,y+1/2,z+1/2'
'-x,y+1/2,-z'
'x,-y+1/2,z'
loop_
_atom_site_label
_atom_site_type_symbol
_atom_site_fract_x
_atom_site_fract_y
_atom_site_fract_z
Ba1 Ba 0.181 0.250 0.087
Al1 Al 0.026 0.250 0.586
```

Output
* E_form: -0.2 eV per formula unit
* N(E_F): 1.27 states/eV per atom
* total magnetization: 0.001 μB per formula unit
* V: 288.3 Å³/cell

---

3.
Crystalline Ba3Al at its relaxed geometry, computed with PBEsol.

```
data_Ba3Al
_space_group_name_H-M_alt 'P n m a'
_space_group_IT_number 62
_cell_length_a 8.088
_cell_length_b 11.159
_cell_length_c 7.855
_cell_angle_alpha 90.00
_cell_angle_beta 90.00
_cell_angle_gamma 90.00
loop_
_space_group_symop_operation_xyz
'x,y,z'
'-x,-y,-z'
'-x+1/2,-y,z+1/2'
'x+1/2,y,-z+1/2'
'x+1/2,-y+1/2,-z+1/2'
'-x+1/2,y+1/2,z+1/2'
'-x,y+1/2,-z'
'x,-y+1/2,z'
loop_
_atom_site_label
_atom_site_type_symbol
_atom_site_fract_x
_atom_site_fract_y
_atom_site_fract_z
Ba1 Ba 0.007 0.250 0.100
Ba2 Ba 0.199 0.050 0.701
Al1 Al 0.072 0.750 0.477
```

Output
* E_form: 0.0 eV per formula unit
* N(E_F): 1.32 states/eV per atom
* total magnetization: 0.000 μB per formula unit
* V: 708.9 Å³/cell

---

4.
Crystalline BaAl at its relaxed geometry, computed with PBEsol.

```
data_BaAl
_space_group_name_H-M_alt 'R -3 m'
_space_group_IT_number 166
_space_group_name_Hall '-R 3 2"'
_cell_length_a 4.5310
_cell_length_b 4.5310
_cell_length_c 27.2174
_cell_angle_alpha 90.00
_cell_angle_beta 90.00
_cell_angle_gamma 120.00
loop_
_atom_site_label
_atom_site_type_symbol
_atom_site_fract_x
_atom_site_fract_y
_atom_site_fract_z
Ba1 Ba 0.0000 0.0000 0.0888
Al1 Al 0.0000 0.0000 0.3333
```

Output
* E_form: -0.3 eV per formula unit
* N(E_F): 0.70 states/eV per atom
* total magnetization: 0.000 μB per formula unit
* V: 483.9 Å³/cell

---

> The lowest E_form belongs to which entry?

BaAl5

---

> Which formula does entry 3 have?

Ba3Al